## i
Sm12YTm7 | the Alexandria database | PBE-GGA | optimized geometry; theoretical density = 7.5 g/cm3; space group = No. 148; total moment = 0.0 μB/cell
1.0
9.769 5.640 2.047
-9.769 5.640 2.047
0.000 -11.280 2.047
Sm Y Tm
12 1 7
Direct
0.000 0.414 0.587
0.000 0.586 0.413
0.087 0.440 0.088
0.088 0.087 0.440
0.413 0.000 0.586
0.414 0.587 0.000
0.440 0.088 0.087
0.560 0.912 0.913
0.586 0.413 0.000
0.587 0.000 0.414
0.912 0.913 0.560
0.913 0.560 0.912
0.500 0.500 0.500
0.000 0.000 0.000
0.129 0.373 0.374
0.373 0.374 0.129
0.374 0.129 0.373
0.626 0.871 0.627
0.627 0.626 0.871
0.871 0.627 0.626

---

## ii
Sm12YTm7 | the Alexandria database | PBE-GGA | optimized geometry; theoretical density = 7.7 g/cm3; space group = No. 148; total moment = 0.0 μB/cell
1.0
6.432 3.714 4.646
-6.432 3.714 4.646
0.000 -7.427 4.646
Sm Y Tm
12 1 7
Direct
0.145 0.410 0.473
0.186 0.751 0.319
0.249 0.681 0.814
0.319 0.186 0.751
0.410 0.473 0.145
0.473 0.145 0.410
0.527 0.855 0.590
0.590 0.527 0.855
0.681 0.814 0.249
0.751 0.319 0.186
0.814 0.249 0.681
0.855 0.590 0.527
0.000 0.000 0.000
0.014 0.079 0.347
0.079 0.347 0.014
0.347 0.014 0.079
0.500 0.500 0.500
0.653 0.986 0.921
0.921 0.653 0.986
0.986 0.921 0.653

---

Of them, i has the highest stability.

---

## i
Sm2Y3Tm7 | the Alexandria database | PBE-GGA | optimized geometry; theoretical density = 7.7 g/cm3; space group = No. 10; total moment = 0.0 μB/cell
1.0
6.288 0.000 0.000
0.000 3.500 0.000
-1.872 0.000 17.202
Sm Y Tm
2 3 7
Direct
0.061 0.000 0.174
0.939 0.000 0.826
0.450 0.500 0.843
0.500 0.000 0.500
0.550 0.500 0.157
0.000 0.500 0.500
0.225 0.000 0.666
0.255 0.000 0.999
0.274 0.500 0.336
0.726 0.500 0.664
0.745 0.000 0.001
0.775 0.000 0.334

---

## ii
Sm2Y3Tm7 | the Alexandria database | PBE-GGA | optimized geometry; theoretical density = 7.7 g/cm3; space group = No. 65; total moment = 0.0 μB/cell
1.0
2.820 -18.665 0.000
2.820 18.665 0.000
0.000 0.000 3.597
Sm Y Tm
2 3 7
Direct
0.147 0.853 0.000
0.853 0.147 0.000
0.315 0.685 0.500
0.500 0.500 0.500
0.685 0.315 0.500
0.000 0.000 0.000
0.071 0.929 0.500
0.230 0.770 0.000
0.410 0.590 0.000
0.590 0.410 0.000
0.770 0.230 0.000
0.929 0.071 0.500

---

Of them, i has the highest stability.